*w*
Here is Pm4Pr4Tm3 after structural relaxation from Alexandria via LeMat-Bulk. Energies are from GGA-PBE.

a b c (Å): 3.5731 5.7327 18.4288
angles (deg): 81.13 84.44 89.99
Closest atoms and distances in Å follow each position.
Positions (direct):
Pm 0.0900 0.0916 0.3193  3 Pr 3.23-3.28, 2 Pm 3.57
Pm 0.2324 0.7324 0.0353  4 Pr 3.44-3.66, 6 Pm 3.57-3.61
Pm 0.7676 0.2676 0.9647  4 Pr 3.44-3.66, 6 Pm 3.57-3.61
Pm 0.9100 0.9084 0.6807  3 Pr 3.23-3.28, 2 Pm 3.57
Pr 0.0460 0.5480 0.4075  2 Pm 3.28, 3 Pr 3.35-3.57
Pr 0.1792 0.1799 0.1408  3 Pm 3.23-3.45, 2 Pr 3.57
Pr 0.8208 0.8201 0.8592  3 Pm 3.23-3.45, 2 Pr 3.57
Pr 0.9540 0.4520 0.5925  2 Pm 3.28, 3 Pr 3.35-3.57
Tm 0.3649 0.3638 0.7713  2 Tm 3.57, 6 Pr 3.70-3.74, 6 Pm 3.75-3.94
Tm 0.5000 0.0000 0.5000  2 Tm 3.57, 4 Pm 3.73, 8 Pr 3.76-3.78
Tm 0.6351 0.6362 0.2287  2 Tm 3.57, 6 Pr 3.70-3.74, 6 Pm 3.75-3.94

Properties
space group: No. 2


*x*
Here is Pm4Pr4Tm3 after structural relaxation from Alexandria via LeMat-Bulk. Energies are from GGA-PBE.

a b c (Å): 12.0619 12.0619 12.0619
angles (deg): 162.51 133.36 50.18
Closest atoms and distances in Å follow each position.
Positions (direct):
Pm 0.1848 0.0000 0.1848  2 Pr 3.39, 6 Tm 3.43-3.52, 3 Pm 3.53-3.67
Pm 0.2370 0.2370 0.0000  2 Tm 3.41, 6 Pr 3.61-3.72, 2 Pm 3.67
Pm 0.7630 0.7630 0.0000  2 Tm 3.41, 6 Pr 3.61-3.72, 2 Pm 3.67
Pm 0.8152 0.0000 0.8152  2 Pr 3.39, 6 Tm 3.43-3.52, 3 Pm 3.53-3.67
Pr 0.1818 0.8572 0.3246  3 Pr 3.35-3.67, 4 Pm 3.39-3.72, 2 Tm 3.69
Pr 0.4674 0.1428 0.3246  3 Pr 3.35-3.67, 4 Pm 3.39-3.72, 2 Tm 3.69
Pr 0.5326 0.8572 0.6754  3 Pr 3.35-3.67, 4 Pm 3.39-3.72, 2 Tm 3.69
Pr 0.8182 0.1428 0.6754  3 Pr 3.35-3.67, 4 Pm 3.39-3.72, 2 Tm 3.69
Tm 0.1056 0.6056 0.5000  6 Pm 3.41-3.43, 2 Tm 3.67, 4 Pr 3.69
Tm 0.5000 0.5000 0.0000  4 Pm 3.52, 2 Tm 3.67
Tm 0.8944 0.3944 0.5000  6 Pm 3.41-3.43, 2 Tm 3.67, 4 Pr 3.69

Properties
space group: No. 71


In terms of stability, *w* leads; the second structure lies 59 meV/atom higher.